Version one
Computed, not measured: an optimized crystal structure of Ta2Ti2Re at the PBE-GGA level of DFT.

The space-group type is No. 12. As for the crystal system: monoclinic. The density of states at the Fermi level comes out at 1.249 states/eV/atom. Its magnetic moment is 0.00 μB/f.u.

a b c (Å): 5.3702 5.3702 7.2716
angles (deg): 132.00 132.00 34.38
Fractional coordinates of all 5 atoms:
1 Ta 0.0904 0.0904 0.3810
2 Ta 0.9096 0.9096 0.6190
3 Ti 0.2837 0.2837 0.1929
4 Ti 0.7163 0.7163 0.8071
5 Re 0.5000 0.5000 0.0000

Version two
Computed, not measured: an optimized crystal structure of Ta2Ti2Re at the PBE-GGA level of DFT.

The space-group type is No. 12. As for the crystal system: monoclinic. The density of states at the Fermi level comes out at 1.409 states/eV/atom. Its magnetic moment is 0.00 μB/f.u.

a b c (Å): 5.1643 5.1643 7.3604
angles (deg): 103.68 103.68 105.04
Fractional coordinates of all 10 atoms:
1 Ta 0.0413 0.6573 0.7894
2 Ta 0.3427 0.9587 0.2106
3 Ta 0.6573 0.0413 0.7894
4 Ta 0.9587 0.3427 0.2106
5 Ti 0.2607 0.2607 0.9430
6 Ti 0.4012 0.4012 0.6247
7 Ti 0.5988 0.5988 0.3753
8 Ti 0.7393 0.7393 0.0570
9 Re 0.1703 0.8297 0.5000
10 Re 0.8297 0.1703 0.5000

Energy above the most stable structure, in meV/atom: version one 0; version two 296

Version one
Computed, not measured: an optimized crystal structure of TaTi2Re2 at the PBE-GGA level of DFT.

The space-group type is No. 63. As for the crystal system: orthorhombic. The density of states at the Fermi level comes out at 0.779 states/eV/atom. Its magnetic moment is 0.00 μB/f.u.

a b c (Å): 11.2962 11.2962 4.5021
angles (deg): 90.00 90.00 163.86
Fractional coordinates of all 10 atoms:
1 Ta 0.1459 0.8541 0.7500
2 Ta 0.8541 0.1459 0.2500
3 Ti 0.0485 0.9515 0.2500
4 Ti 0.2427 0.7573 0.2500
5 Ti 0.7573 0.2427 0.7500
6 Ti 0.9515 0.0485 0.7500
7 Re 0.3506 0.6494 0.7500
8 Re 0.4517 0.5483 0.2500
9 Re 0.5483 0.4517 0.7500
10 Re 0.6494 0.3506 0.2500

Version two
Computed, not measured: an optimized crystal structure of TaTi2Re2 at the PBE-GGA level of DFT.

The space-group type is No. 127. As for the crystal system: tetragonal. The density of states at the Fermi level comes out at 1.004 states/eV/atom. Its magnetic moment is 0.00 μB/f.u.

a b c (Å): 7.1958 7.1958 3.2271
angles (deg): 90.00 90.00 90.00
Fractional coordinates of all 10 atoms:
1 Ta 0.0000 0.0000 0.0000
2 Ta 0.5000 0.5000 0.0000
3 Ti 0.1544 0.3456 0.5000
4 Ti 0.3456 0.8456 0.5000
5 Ti 0.6544 0.1544 0.5000
6 Ti 0.8456 0.6544 0.5000
7 Re 0.1472 0.6472 0.0000
8 Re 0.3528 0.1472 0.0000
9 Re 0.6472 0.8528 0.0000
10 Re 0.8528 0.3528 0.0000

Energy above the most stable structure, in meV/atom: version one 0; version two 455